# 1
Below is a relaxed structure of GdYPt2, with properties calculated at the PBE level.

Energy of formation from the pure elements   -1.25 eV/atom
Calculated volume   180 Å³/cell
SG   Amm2 (38)
Total DFT energy (no corrections)   -56.44 eV per cell

abc: 4.5243 3.7566 10.5655
angles: 90.00 90.00 90.00
Closest atoms and distances in Å follow each position.
Fractional positions:
Gd 0.0000 0.0000 0.0000  7 Pt 2.90-3.04
Gd 0.0000 0.5000 0.5000  7 Pt 2.90-3.04
Y 0.5000 0.0000 0.2765  7 Pt 2.90-3.04
Y 0.5000 0.5000 0.7765  7 Pt 2.90-3.04
Pt 0.0000 0.0000 0.7259  3 Gd 2.90-3.04, 2 Pt 2.92, 4 Y 2.99
Pt 0.0000 0.5000 0.2259  3 Gd 2.90-3.04, 2 Pt 2.92, 4 Y 2.99
Pt 0.5000 0.0000 0.5507  3 Y 2.90-3.04, 2 Pt 2.92, 4 Gd 2.99
Pt 0.5000 0.5000 0.0507  3 Y 2.90-3.04, 2 Pt 2.92, 4 Gd 2.99

---

# 2
Below is a relaxed structure of NaCdPb, with properties calculated at the PBE level.

Calculated volume   165 Å³/cell
SG   P1 (1)
Total DFT energy (no corrections)   -12.51 eV per cell

abc: 5.0983 6.2678 6.2775
angles: 89.80 66.22 66.12
Closest atoms and distances in Å follow each position.
Fractional positions:
Na 0.0000 0.0000 0.0000  6 Cd 3.43-3.46, 6 Pb 3.48-3.59, 2 Na 3.68
Na 0.4996 0.4473 0.5531  6 Pb 3.39-3.48, 6 Cd 3.51-3.57, 2 Na 3.68
Cd 0.2826 0.0245 0.4077  3 Pb 2.96, 1 Cd 3.15
Cd 0.7167 0.5926 0.9755  3 Pb 2.96, 1 Cd 3.15
Pb 0.2233 0.4164 0.1385  3 Cd 2.96, 1 Pb 3.25
Pb 0.7764 0.8617 0.5836  3 Cd 2.96, 1 Pb 3.25

---

# 3
Below is a relaxed structure of AlB4Pd, with properties calculated at the PBE level.

Calculated volume   109 Å³/cell
SG   Immm (71)
Energy above the lowest structure with this stoichiometry   67 meV/atom
Total DFT energy (no corrections)   -70.26 eV per cell

abc: 3.0412 5.2275 6.8529
angles: 90.00 90.00 90.00
Closest atoms and distances in Å follow each position.
Fractional positions:
Al 0.0000 0.0000 0.0000  12 B 2.42-2.47
Al 0.5000 0.5000 0.5000  12 B 2.42-2.47
B 0.0000 0.3284 0.2595  3 B 1.73-1.79
B 0.0000 0.3284 0.7405  3 B 1.73-1.79
B 0.0000 0.6716 0.2595  3 B 1.73-1.79
B 0.0000 0.6716 0.7405  3 B 1.73-1.79
B 0.5000 0.1716 0.2405  3 B 1.73-1.79
B 0.5000 0.1716 0.7595  3 B 1.73-1.79
B 0.5000 0.8284 0.2405  3 B 1.73-1.79
B 0.5000 0.8284 0.7595  3 B 1.73-1.79
Pd 0.0000 0.0000 0.5000  12 B 2.38-2.51
Pd 0.5000 0.5000 0.0000  12 B 2.38-2.51

---

> Among the records above, which one has the highest total DFT energy (no corrections)?

NaCdPb

---

> What is the formula in the second record?

NaCdPb